(1)
# TcIr4Au, relaxed, DFT GGA-PBEsol
data_TcIr4Au
_cell_length_a 5.088
_cell_length_b 5.088
_cell_length_c 5.088
_cell_angle_alpha 60.00
_cell_angle_beta 60.00
_cell_angle_gamma 60.00
_space_group_name_H-M_alt 'P 1'
_space_group_IT_number 1
loop_
_space_group_symop_operation_xyz
'x,y,z'
loop_
_atom_site_label
_atom_site_type_symbol
_atom_site_fract_x
_atom_site_fract_y
_atom_site_fract_z
_atom_site_occupancy
Ir1 Ir 0.375 0.875 0.375 1
Ir2 Ir 0.375 0.375 0.375 1
Ir3 Ir 0.875 0.375 0.375 1
Ir4 Ir 0.375 0.375 0.875 1
Tc1 Tc 0.750 0.750 0.750 1
Au1 Au 0.000 0.000 0.000 1
# Space-group type   No. 216

(2)
# LaAgHg2, relaxed, DFT GGA-PBEsol
data_LaAgHg2
_cell_length_a 3.570
_cell_length_b 3.819
_cell_length_c 6.958
_cell_angle_alpha 90.00
_cell_angle_beta 90.00
_cell_angle_gamma 90.00
_space_group_name_H-M_alt 'P 1'
_space_group_IT_number 1
loop_
_space_group_symop_operation_xyz
'x,y,z'
loop_
_atom_site_label
_atom_site_type_symbol
_atom_site_fract_x
_atom_site_fract_y
_atom_site_fract_z
_atom_site_occupancy
Hg1 Hg 0.000 0.000 0.984 1
Hg2 Hg 0.500 0.500 0.226 1
Ag1 Ag 0.500 0.500 0.783 1
La1 La 0.000 0.000 0.507 1
# Space-group type   No. 25

(3)
# La2BeAs, relaxed, DFT GGA-PBEsol
data_La2BeAs
_cell_length_a 4.209
_cell_length_b 4.209
_cell_length_c 7.725
_cell_angle_alpha 74.19
_cell_angle_beta 74.19
_cell_angle_gamma 60.00
_space_group_name_H-M_alt 'P 1'
_space_group_IT_number 1
loop_
_space_group_symop_operation_xyz
'x,y,z'
loop_
_atom_site_label
_atom_site_type_symbol
_atom_site_fract_x
_atom_site_fract_y
_atom_site_fract_z
_atom_site_occupancy
La1 La 0.254 0.254 0.237 1
La2 La 0.746 0.746 0.763 1
As1 As 0.000 0.000 0.000 1
Be1 Be 0.500 0.500 0.500 1
# Energy above the most stable polymorph in this dataset   0.0 meV/atom
# Space-group type   No. 166

(4)
# LiZn2Rh, relaxed, DFT GGA-PBEsol
data_LiZn2Rh
_cell_length_a 4.198
_cell_length_b 4.198
_cell_length_c 4.198
_cell_angle_alpha 60.00
_cell_angle_beta 60.00
_cell_angle_gamma 60.00
_space_group_name_H-M_alt 'P 1'
_space_group_IT_number 1
loop_
_space_group_symop_operation_xyz
'x,y,z'
loop_
_atom_site_label
_atom_site_type_symbol
_atom_site_fract_x
_atom_site_fract_y
_atom_site_fract_z
_atom_site_occupancy
Rh1 Rh 0.500 0.500 0.500 1
Zn1 Zn 0.250 0.250 0.250 1
Zn2 Zn 0.750 0.750 0.750 1
Li1 Li 0.000 0.000 0.000 1
# Energy above the most stable polymorph in this dataset   2.0 meV/atom
# Space-group type   No. 225

(5)
# MnCo2Mo, relaxed, DFT GGA-PBEsol
data_MnCo2Mo
_cell_length_a 2.537
_cell_length_b 5.619
_cell_length_c 4.371
_cell_angle_alpha 120.77
_cell_angle_beta 89.99
_cell_angle_gamma 116.86
_space_group_name_H-M_alt 'P 1'
_space_group_IT_number 1
loop_
_space_group_symop_operation_xyz
'x,y,z'
loop_
_atom_site_label
_atom_site_type_symbol
_atom_site_fract_x
_atom_site_fract_y
_atom_site_fract_z
_atom_site_occupancy
Co1 Co 0.000 0.000 0.500 1
Co2 Co 0.500 0.500 0.500 1
Mo1 Mo 0.500 0.000 0.000 1
Mn1 Mn 0.000 0.500 0.000 1
# Energy above the most stable polymorph in this dataset   100.5 meV/atom
# Space-group type   No. 65

(6)
# ZnSbMo2, relaxed, DFT GGA-PBEsol
data_ZnSbMo2
_cell_length_a 4.003
_cell_length_b 4.003
_cell_length_c 4.921
_cell_angle_alpha 114.00
_cell_angle_beta 114.00
_cell_angle_gamma 90.00
_space_group_name_H-M_alt 'P 1'
_space_group_IT_number 1
loop_
_space_group_symop_operation_xyz
'x,y,z'
loop_
_atom_site_label
_atom_site_type_symbol
_atom_site_fract_x
_atom_site_fract_y
_atom_site_fract_z
_atom_site_occupancy
Mo1 Mo 0.000 0.000 0.000 1
Mo2 Mo 0.750 0.250 0.500 1
Zn1 Zn 0.250 0.750 0.500 1
Sb1 Sb 0.500 0.500 0.000 1
# Energy above the most stable polymorph in this dataset   0.0 meV/atom
# Space-group type   No. 119

(7)
# TlAgTe, relaxed, DFT GGA-PBEsol
data_TlAgTe
_cell_length_a 4.884
_cell_length_b 4.884
_cell_length_c 4.884
_cell_angle_alpha 60.00
_cell_angle_beta 60.00
_cell_angle_gamma 60.00
_space_group_name_H-M_alt 'P 1'
_space_group_IT_number 1
loop_
_space_group_symop_operation_xyz
'x,y,z'
loop_
_atom_site_label
_atom_site_type_symbol
_atom_site_fract_x
_atom_site_fract_y
_atom_site_fract_z
_atom_site_occupancy
Te1 Te 0.000 0.000 0.000 1
Ag1 Ag 0.250 0.250 0.250 1
Tl1 Tl 0.500 0.500 0.500 1
# Energy above the most stable polymorph in this dataset   70.0 meV/atom
# Space-group type   No. 216

(8)
# Li6Ca12W4N16O3, relaxed, DFT GGA-PBEsol
data_Li6Ca12W4N16O3
_cell_length_a 11.231
_cell_length_b 11.231
_cell_length_c 11.231
_cell_angle_alpha 109.47
_cell_angle_beta 109.47
_cell_angle_gamma 109.47
_space_group_name_H-M_alt 'P 1'
_space_group_IT_number 1
loop_
_space_group_symop_operation_xyz
'x,y,z'
loop_
_atom_site_label
_atom_site_type_symbol
_atom_site_fract_x
_atom_site_fract_y
_atom_site_fract_z
_atom_site_occupancy
N1 N 0.815 0.448 0.082 1
N2 N 0.865 0.733 0.418 1
N3 N 0.918 0.865 0.233 1
N4 N 0.892 0.000 0.000 1
N5 N 0.000 0.500 0.392 1
N6 N 0.135 0.868 0.052 1
N7 N 0.582 0.815 0.948 1
N8 N 0.767 0.132 0.185 1
N9 N 0.685 0.767 0.632 1
N10 N 0.418 0.233 0.865 1
N11 N 0.448 0.582 0.315 1
N12 N 0.185 0.632 0.767 1
N13 N 0.948 0.315 0.582 1
N14 N 0.392 0.000 0.000 1
N15 N 0.132 0.685 0.267 1
N16 N 0.368 0.635 0.552 1
N17 N 0.267 0.185 0.132 1
N18 N 0.052 0.368 0.135 1
N19 N 0.315 0.082 0.448 1
N20 N 0.365 0.418 0.733 1
N21 N 0.500 0.892 0.500 1
N22 N 0.500 0.392 0.500 1
N23 N 0.608 0.608 0.108 1
N24 N 0.000 0.500 0.892 1
N25 N 0.082 0.948 0.815 1
N26 N 0.233 0.365 0.918 1
N27 N 0.635 0.052 0.868 1
N28 N 0.552 0.135 0.368 1
N29 N 0.868 0.552 0.635 1
N30 N 0.733 0.918 0.365 1
N31 N 0.108 0.108 0.608 1
N32 N 0.632 0.267 0.685 1
Li1 Li 0.273 0.250 0.523 1
Li2 Li 0.250 0.727 0.477 1
Li3 Li 0.727 0.977 0.750 1
Li4 Li 0.750 0.773 0.023 1
Li5 Li 0.227 0.750 0.977 1
Li6 Li 0.523 0.750 0.273 1
Li7 Li 0.250 0.023 0.773 1
Li8 Li 0.477 0.227 0.250 1
Li9 Li 0.773 0.523 0.250 1
Li10 Li 0.023 0.273 0.750 1
Li11 Li 0.977 0.250 0.227 1
Li12 Li 0.750 0.477 0.727 1
O1 O 0.125 0.250 0.375 1
O2 O 0.375 0.750 0.125 1
O3 O 0.875 0.125 0.750 1
O4 O 0.250 0.875 0.625 1
O5 O 0.750 0.625 0.875 1
O6 O 0.625 0.375 0.250 1
Ca1 Ca 0.113 0.905 0.443 1
Ca2 Ca 0.613 0.443 0.905 1
Ca3 Ca 0.557 0.962 0.170 1
Ca4 Ca 0.830 0.291 0.887 1
Ca5 Ca 0.405 0.613 0.943 1
Ca6 Ca 0.291 0.387 0.330 1
Ca7 Ca 0.887 0.791 0.830 1
Ca8 Ca 0.905 0.943 0.613 1
Ca9 Ca 0.709 0.095 0.538 1
Ca10 Ca 0.962 0.670 0.057 1
Ca11 Ca 0.670 0.557 0.462 1
Ca12 Ca 0.462 0.057 0.670 1
Ca13 Ca 0.791 0.330 0.387 1
Ca14 Ca 0.595 0.209 0.038 1
Ca15 Ca 0.943 0.113 0.405 1
Ca16 Ca 0.057 0.170 0.962 1
Ca17 Ca 0.038 0.709 0.595 1
Ca18 Ca 0.209 0.538 0.095 1
Ca19 Ca 0.330 0.887 0.291 1
Ca20 Ca 0.095 0.038 0.209 1
Ca21 Ca 0.443 0.405 0.113 1
Ca22 Ca 0.387 0.830 0.791 1
Ca23 Ca 0.170 0.462 0.557 1
Ca24 Ca 0.538 0.595 0.709 1
W1 W 0.500 0.725 0.500 1
W2 W 0.275 0.275 0.775 1
W3 W 0.000 0.500 0.225 1
W4 W 0.225 0.000 0.000 1
W5 W 0.725 0.000 0.000 1
W6 W 0.000 0.500 0.725 1
W7 W 0.500 0.225 0.500 1
W8 W 0.775 0.775 0.275 1
# Space-group type   No. 220

(9)
# LiLaSbH2, relaxed, DFT GGA-PBEsol
data_LiLaSbH2
_cell_length_a 4.173
_cell_length_b 4.173
_cell_length_c 6.223
_cell_angle_alpha 90.00
_cell_angle_beta 90.00
_cell_angle_gamma 90.00
_space_group_name_H-M_alt 'P 1'
_space_group_IT_number 1
loop_
_space_group_symop_operation_xyz
'x,y,z'
loop_
_atom_site_label
_atom_site_type_symbol
_atom_site_fract_x
_atom_site_fract_y
_atom_site_fract_z
_atom_site_occupancy
H1 H 0.500 0.000 0.000 1
H2 H 0.000 0.500 0.000 1
Li1 Li 0.000 0.000 0.500 1
Sb1 Sb 0.500 0.500 0.500 1
La1 La 0.000 0.000 0.000 1
# Space-group type   No. 123

(10)
# Cu2Au3, relaxed, DFT GGA-PBEsol
data_Cu2Au3
_cell_length_a 2.885
_cell_length_b 2.885
_cell_length_c 9.076
_cell_angle_alpha 99.14
_cell_angle_beta 99.14
_cell_angle_gamma 90.00
_space_group_name_H-M_alt 'P 1'
_space_group_IT_number 1
loop_
_space_group_symop_operation_xyz
'x,y,z'
loop_
_atom_site_label
_atom_site_type_symbol
_atom_site_fract_x
_atom_site_fract_y
_atom_site_fract_z
_atom_site_occupancy
Au1 Au 0.500 0.500 0.000 1
Au2 Au 0.117 0.117 0.233 1
Au3 Au 0.883 0.883 0.767 1
Cu1 Cu 0.711 0.711 0.423 1
Cu2 Cu 0.289 0.289 0.577 1
# Energy above the most stable polymorph in this dataset   30.5 meV/atom
# Space-group type   No. 139

(11)
# Lu2Ru2O7, relaxed, DFT GGA-PBEsol
data_Lu2Ru2O7
_cell_length_a 7.024
_cell_length_b 7.024
_cell_length_c 7.024
_cell_angle_alpha 60.00
_cell_angle_beta 60.00
_cell_angle_gamma 60.00
_space_group_name_H-M_alt 'P 1'
_space_group_IT_number 1
loop_
_space_group_symop_operation_xyz
'x,y,z'
loop_
_atom_site_label
_atom_site_type_symbol
_atom_site_fract_x
_atom_site_fract_y
_atom_site_fract_z
_atom_site_occupancy
Ru1 Ru 0.125 0.125 0.125 1
Ru2 Ru 0.125 0.125 0.625 1
Ru3 Ru 0.625 0.125 0.125 1
Ru4 Ru 0.125 0.625 0.125 1
O1 O 0.464 0.036 0.036 1
O2 O 0.036 0.464 0.464 1
O3 O 0.214 0.786 0.786 1
O4 O 0.214 0.214 0.786 1
O5 O 0.786 0.786 0.214 1
O6 O 0.464 0.464 0.036 1
O7 O 0.500 0.500 0.500 1
O8 O 0.214 0.786 0.214 1
O9 O 0.750 0.750 0.750 1
O10 O 0.036 0.464 0.036 1
O11 O 0.786 0.214 0.786 1
O12 O 0.036 0.036 0.464 1
O13 O 0.464 0.036 0.464 1
O14 O 0.786 0.214 0.214 1
Lu1 Lu 0.625 0.625 0.125 1
Lu2 Lu 0.125 0.625 0.625 1
Lu3 Lu 0.625 0.125 0.625 1
Lu4 Lu 0.625 0.625 0.625 1
# Space-group type   No. 227

(12)
# CoCu2W, relaxed, DFT GGA-PBEsol
data_CoCu2W
_cell_length_a 3.545
_cell_length_b 3.545
_cell_length_c 4.573
_cell_angle_alpha 112.81
_cell_angle_beta 112.81
_cell_angle_gamma 90.00
_space_group_name_H-M_alt 'P 1'
_space_group_IT_number 1
loop_
_space_group_symop_operation_xyz
'x,y,z'
loop_
_atom_site_label
_atom_site_type_symbol
_atom_site_fract_x
_atom_site_fract_y
_atom_site_fract_z
_atom_site_occupancy
Co1 Co 0.000 0.000 0.000 1
Cu1 Cu 0.750 0.250 0.500 1
Cu2 Cu 0.250 0.750 0.500 1
W1 W 0.500 0.500 0.000 1
# Energy above the most stable polymorph in this dataset   2.4 meV/atom
# Space-group type   No. 139

no.,V (Å³/cell),uncorrected energy (eV per cell)
1,93.14,-50.70
2,94.86,-10.77
3,112.51,-21.43
4,52.31,-14.81
5,45.54,-36.72
6,64.50,-28.45
7,82.40,-9.77
8,1090.38,-604.14
9,108.38,-18.36
10,73.59,-20.49
11,245.05,-183.14
12,48.06,-29.04